(1)
Here is a relaxed structure of BaGeC3 from the Alexandria database. Energies are from PBE.

POSCAR file:
```
BaGeC3
1.0
-2.4525 1.8053 2.9070
2.2536 -1.8394 3.0435
2.5752 3.3290 0.1051
C Ge Ba
3 1 1
direct
0.0000 0.5000 0.0000
0.0000 0.0000 0.5000
0.5000 0.0000 0.0000
0.0000 0.0000 0.0000
0.5000 0.5000 0.5000
```

Output
Formation enthalpy at 0 K in meV/atom: 1897.5
SG: No. 221
E in eV per atom: -4.945
Total magnetization in μB/f.u.: 0.0
Excess energy over the best structure of this formula in the dataset in meV per atom: 0

***

(2)
Here is a relaxed structure of La2Ge4IrPd3 from the Alexandria database. Energies are from PBE.

POSCAR file:
```
La2Ge4IrPd3
1.0
-2.6378 3.5415 0.2134
-3.2877 -2.5399 1.5118
3.0327 1.6903 9.4353
La Ge Ir Pd
2 4 1 3
direct
0.5000 0.5000 0.2586
0.0000 0.0000 0.7440
0.5000 0.5000 0.8689
0.0000 0.0000 0.1258
0.5000 0.0000 0.5021
0.0000 0.5000 0.5021
0.5000 0.5000 0.6245
0.0000 0.0000 0.3742
0.5000 0.0000 0.0000
0.0000 0.5000 0.0000
```

Output
Formation enthalpy at 0 K in meV/atom: -850.7
SG: No. 99
E in eV per atom: -6.127
Total magnetization in μB/f.u.: 0.0
Excess energy over the best structure of this formula in the dataset in meV per atom: 0

***

(3)
Here is a relaxed structure of TcRhBr2 from the Alexandria database. Energies are from PBE.

POSCAR file:
```
TcRhBr2
1.0
-2.7642 -1.1694 0.8371
-1.1012 -1.3607 -5.5375
1.8088 -3.8549 0.5876
Rh Tc Br
1 1 2
direct
0.5000 0.0000 0.5000
0.0000 0.5000 0.5000
0.0000 0.0000 0.0000
0.5000 0.5000 0.0000
```

Output
SG: No. 47
E in eV per atom: -4.435
Raw formation energy in eV per atom: 0.831
Total magnetization in μB/f.u.: 3.0
Excess energy over the best structure of this formula in the dataset in meV per atom: 711

***

(4)
Here is a relaxed structure of Hf2ZnAs from the Alexandria database. Energies are from PBE.

POSCAR file:
```
Hf2ZnAs
1.0
-2.5270 -1.6994 1.9498
-2.6457 -1.8200 -1.6622
2.3173 -7.1079 0.1613
Hf Zn As
2 1 1
direct
0.0753 0.0753 0.7740
0.2577 0.2577 0.2269
0.4993 0.4993 0.5022
0.6677 0.6677 0.9969
```

Output
Formation enthalpy at 0 K in meV/atom: -356.4
SG: No. 160
E in eV per atom: -6.814
Total magnetization in μB/f.u.: 0.0

***

(5)
Here is a relaxed structure of Pr8Te4P3O from the Alexandria database. Energies are from PBE.

POSCAR file:
```
Pr8Te4P3O
1.0
-0.3194 8.2852 1.4330
-0.9909 -1.5301 8.6258
6.6490 -3.3361 -3.9327
Pr Te P O
8 4 3 1
direct
0.2286 0.7041 0.9755
0.2287 0.7042 0.4573
0.2623 0.2869 0.5246
0.7470 0.7041 0.9755
0.2530 0.2959 0.0245
0.7377 0.7131 0.4754
0.7713 0.2958 0.5427
0.7714 0.2959 0.0245
0.5000 0.0000 0.0000
0.5000 0.0000 0.5000
0.0000 0.0000 0.0000
0.0000 0.0000 0.5000
0.5000 0.5000 0.0000
0.5000 0.5000 0.5000
0.0000 0.5000 0.5000
0.0000 0.5000 0.0000
```

Output
SG: No. 166
E in eV per atom: -6.132
Raw formation energy in eV per atom: -1.632
Total magnetization in μB/f.u.: 0.0

***

(6)
Here is a relaxed structure of Nb3Au2N from the Alexandria database. Energies are from PBE.

POSCAR file:
```
Nb3Au2N
1.0
7.1810 0.0000 0.0000
0.0000 7.1810 0.0000
0.0000 0.0000 7.1810
Nb Au N
12 8 4
direct
0.6250 0.2924 0.5424
0.7076 0.0424 0.8750
0.5424 0.6250 0.2924
0.9576 0.3750 0.7924
0.2924 0.5424 0.6250
0.4576 0.1250 0.2076
0.0424 0.8750 0.7076
0.7924 0.9576 0.3750
0.2076 0.4576 0.1250
0.8750 0.7076 0.0424
0.3750 0.7924 0.9576
0.1250 0.2076 0.4576
0.5640 0.4360 0.9360
0.6860 0.6860 0.6860
0.9360 0.5640 0.4360
0.4360 0.9360 0.5640
0.1860 0.8140 0.3140
0.8140 0.3140 0.1860
0.3140 0.1860 0.8140
0.0640 0.0640 0.0640
0.8750 0.1250 0.6250
0.1250 0.6250 0.8750
0.6250 0.8750 0.1250
0.3750 0.3750 0.3750
```

Output
SG: No. 213
E in eV per atom: -8.028
Raw formation energy in eV per atom: -0.514
Total magnetization in μB/f.u.: 0.0

***

(7)
Here is a relaxed structure of Co2OsRh from the Alexandria database. Energies are from PBE.

POSCAR file:
```
Co2OsRh
1.0
5.2420 0.0000 0.0000
0.0000 5.2420 0.0000
2.6210 2.6210 5.1177
Rh Os Co
2 2 4
direct
0.5000 0.5000 0.0000
0.2500 0.7500 0.5000
0.0000 0.0000 0.0000
0.7500 0.2500 0.5000
0.6297 0.1250 0.2500
0.1203 0.6250 0.2500
0.3750 0.3703 0.7500
0.8750 0.8797 0.7500
```

Output
Formation enthalpy at 0 K in meV/atom: 1204.0
SG: No. 122
E in eV per atom: -6.994
Total magnetization in μB/f.u.: 0.0
Excess energy over the best structure of this formula in the dataset in meV per atom: 1093

***

(8)
Here is a relaxed structure of Li3Si5P8 from the Alexandria database. Energies are from PBE.

POSCAR file:
```
Li3Si5P8
1.0
6.2752 0.0000 0.0000
0.0000 6.2752 0.0000
0.0000 0.0000 6.2752
P Si Li
8 5 3
direct
0.0000 0.0000 0.0000
0.0000 0.5000 0.5000
0.5000 0.0000 0.5000
0.5000 0.5000 0.0000
0.7933 0.7933 0.7933
0.2067 0.2067 0.7933
0.2067 0.7933 0.2067
0.7933 0.2067 0.2067
0.5000 0.5000 0.5000
0.2842 0.2842 0.2842
0.7158 0.7158 0.2842
0.7158 0.2842 0.7158
0.2842 0.7158 0.7158
0.5000 0.0000 0.0000
0.0000 0.5000 0.0000
0.0000 0.0000 0.5000
```

Output
SG: No. 215
E in eV per atom: -4.416
Raw formation energy in eV per atom: 0.342
Total magnetization in μB/f.u.: 0.0